# 1
This record from Alexandria via LeMat-Bulk describes a relaxed structure of Hf2NbCl. The functional is PBE.

* raw formation energy: 0.381 eV per atom
* calculated density: 10.0 g/cm³
* relative energy among the computed polymorphs: 73.7 kJ/mol of atoms
* calculated volume: 80.2 Å³ per cell

Unit cell a=4.841 b=4.841 c=4.841 alpha=60.00 beta=60.00 gamma=60.00
Element x y z (fractional)
Hf (0.750, 0.750, 0.750)
Cl (0.000, 0.000, 0.000)
Nb (0.500, 0.500, 0.500)
Hf (0.250, 0.250, 0.250)

# 2
This record from Alexandria via LeMat-Bulk describes a relaxed structure of Hf2NbCl. The functional is PBE.

* raw formation energy: -0.317 eV per atom
* calculated density: 9.7 g/cm³
* relative energy among the computed polymorphs: 6.3 kJ/mol of atoms
* calculated volume: 165.5 Å³ per cell

Unit cell a=8.843 b=3.830 c=5.015 alpha=90.00 beta=102.91 gamma=90.00
Element x y z (fractional)
Cl (0.000, 0.110, 0.000)
Hf (0.740, 0.851, 0.149)
Cl (0.000, 0.610, 0.500)
Nb (0.500, 0.854, 0.500)
Hf (0.260, 0.351, 0.351)
Hf (0.740, 0.351, 0.649)
Nb (0.500, 0.354, 0.000)
Hf (0.260, 0.851, 0.851)